1.
VASP calculation (GGA-PBE) on an optimized crystal structure of Ca2TlCu.

Results
As for the calculated volume: 235.54 Å³/cell. The calculation puts the formation energy at 0.11 eV per formula unit. Its crystal system is tetragonal. The total moment comes out at 0.000 μB/f.u.

Lattice parameters (Å, degrees): 6.7891 6.7891 6.7891 104.82 104.82 119.25
Last column: nearest neighbours and their distance in Å.
Fractional coordinates of all 8 atoms:
Ca 0.0850 0.6250 0.9600  2 Cu 2.84
Ca 0.3750 0.3350 0.4600  2 Cu 2.84
Ca 0.6650 0.1250 0.0400  2 Cu 2.84
Ca 0.8750 0.9150 0.5400  2 Cu 2.84
Tl 0.2500 0.7500 0.5000  4 Ca 3.29, 2 Cu 3.43
Tl 0.5000 0.5000 0.0000  4 Ca 3.29, 2 Cu 3.43
Cu 0.0000 0.0000 0.0000  4 Ca 2.84
Cu 0.7500 0.2500 0.5000  4 Ca 2.84

2.
VASP calculation (GGA-PBE) on an optimized crystal structure of CaTl2Cu.

Results
As for the calculated volume: 98.60 Å³/cell. The calculation puts the formation energy at -0.03 eV per formula unit. Its crystal system is cubic. The total moment comes out at 0.000 μB/f.u.

Lattice parameters (Å, degrees): 5.1855 5.1855 5.1855 60.00 60.00 60.00
Last column: nearest neighbours and their distance in Å.
Fractional coordinates of all 4 atoms:
Ca 0.0000 0.0000 0.0000  4 Tl 3.18, 4 Cu 3.18
Tl 0.5000 0.5000 0.5000  4 Tl 3.18, 4 Cu 3.18
Tl 0.7500 0.7500 0.7500  4 Tl 3.18, 4 Ca 3.18
Cu 0.2500 0.2500 0.2500  4 Tl 3.18, 4 Ca 3.18

3.
VASP calculation (GGA-PBE) on an optimized crystal structure of Ca5TlCu2.

Results
As for the calculated volume: 464.06 Å³/cell. The calculation puts the formation energy at -1.80 eV per formula unit. Its crystal system is tetragonal. The total moment comes out at 0.000 μB/f.u.

Lattice parameters (Å, degrees): 9.2649 9.2649 9.2649 129.30 129.30 74.52
Last column: nearest neighbours and their distance in Å.
Fractional coordinates of all 16 atoms:
Ca 0.0000 0.0000 0.0000  4 Cu 3.20
Ca 0.0306 0.5306 0.8415  3 Cu 3.09-3.19, 2 Tl 3.36
Ca 0.1891 0.0306 0.5000  3 Cu 3.09-3.19, 2 Tl 3.36
Ca 0.3109 0.8109 0.8415  3 Cu 3.09-3.19, 2 Tl 3.36
Ca 0.4694 0.3109 0.5000  3 Cu 3.09-3.19, 2 Tl 3.36
Ca 0.5000 0.5000 0.0000  4 Cu 3.20
Ca 0.5306 0.6891 0.5000  3 Cu 3.09-3.19, 2 Tl 3.36
Ca 0.6891 0.1891 0.1585  3 Cu 3.09-3.19, 2 Tl 3.36
Ca 0.8109 0.9694 0.5000  3 Cu 3.09-3.19, 2 Tl 3.36
Ca 0.9694 0.4694 0.1585  3 Cu 3.09-3.19, 2 Tl 3.36
Tl 0.2500 0.2500 0.0000  10 Ca 3.36-3.69
Tl 0.7500 0.7500 0.0000  10 Ca 3.36-3.69
Cu 0.1125 0.3875 0.5000  1 Cu 2.52
Cu 0.3875 0.8875 0.2750  1 Cu 2.52
Cu 0.6125 0.1125 0.7250  1 Cu 2.52
Cu 0.8875 0.6125 0.5000  1 Cu 2.52